(1)
# PBE Ac8PmNd2, relaxed
# Total magnetization: 0.0 μB per cell
# Raw total energy: -3.92 eV per atom
# E_form: 0.37 eV per atom
# Mass density: 7.25 g cm⁻³
data_Ac8PmNd2
_chemical_formula_sum 'Ac16 Pm2 Nd4'
_cell_length_a 13.2897
_cell_length_b 12.6859
_cell_length_c 6.2988
_cell_angle_alpha 90.00
_cell_angle_beta 103.93
_cell_angle_gamma 90.00
_space_group_name_H-M_alt 'C 1 2/m 1'
_space_group_IT_number 12
loop_
_space_group_symop_operation_xyz
'x,y,z'
'-x,-y,-z'
'-x,y,-z'
'x,-y,z'
'x+1/2,y+1/2,z'
'-x+1/2,-y+1/2,-z'
'-x+1/2,y+1/2,-z'
'x+1/2,-y+1/2,z'
loop_
_atom_site_label
_atom_site_type_symbol
_atom_site_fract_x
_atom_site_fract_y
_atom_site_fract_z
Ac1 Ac 0.0831 0.0000 0.2928
Ac2 Ac 0.1017 0.2566 0.7976
Ac3 Ac 0.2327 0.0000 0.8853
Pm1 Pm 0.0000 0.5000 0.0000
Nd1 Nd 0.1306 0.5000 0.5190

(2)
# PBE Ac7PmNd4, relaxed
# Total magnetization: 0.0 μB per cell
# Raw total energy: -4.35 eV per atom
# E_form: 0.03 eV per atom
# Mass density: 7.82 g cm⁻³
data_Ac7PmNd4
_chemical_formula_sum 'Ac7 Pm1 Nd4'
_cell_length_a 6.7484
_cell_length_b 7.7611
_cell_length_c 9.6232
_cell_angle_alpha 89.67
_cell_angle_beta 76.67
_cell_angle_gamma 89.94
_space_group_name_H-M_alt 'P -1'
_space_group_IT_number 2
loop_
_space_group_symop_operation_xyz
'x,y,z'
'-x,-y,-z'
loop_
_atom_site_label
_atom_site_type_symbol
_atom_site_fract_x
_atom_site_fract_y
_atom_site_fract_z
Ac1 Ac 0.0000 0.0000 0.0000
Ac2 Ac 0.2211 0.4993 0.3322
Ac3 Ac 0.2814 0.7547 0.6642
Ac4 Ac 0.4977 0.2492 0.9950
Pm1 Pm 0.0000 0.5000 0.0000
Nd1 Nd 0.2199 0.0005 0.3347
Nd2 Nd 0.2725 0.2486 0.6691

(3)
# PBE AcPm4Nd5, relaxed
# Total magnetization: 0.0 μB per cell
# Raw total energy: -4.67 eV per atom
# E_form: 0.02 eV per atom
# Mass density: 7.06 g cm⁻³
data_AcPm4Nd5
_chemical_formula_sum 'Ac1 Pm4 Nd5'
_cell_length_a 3.7193
_cell_length_b 3.7193
_cell_length_c 26.0027
_cell_angle_alpha 90.00
_cell_angle_beta 90.00
_cell_angle_gamma 90.00
_space_group_name_H-M_alt 'P 4/m m m'
_space_group_IT_number 123
_space_group_name_Hall '-P 4 2'
loop_
_atom_site_label
_atom_site_type_symbol
_atom_site_fract_x
_atom_site_fract_y
_atom_site_fract_z
Ac1 Ac 0.0000 0.0000 0.0000
Pm1 Pm 0.0000 0.0000 0.2049
Pm2 Pm 0.0000 0.0000 0.4016
Nd1 Nd 0.5000 0.5000 0.1069
Nd2 Nd 0.5000 0.5000 0.3034
Nd3 Nd 0.5000 0.5000 0.5000

(4)
# PBE AcPm12Nd7, relaxed
# Total magnetization: 0.0 μB per cell
# Raw total energy: -4.16 eV per atom
# E_form: 0.57 eV per atom
# Mass density: 6.25 g cm⁻³
data_AcPm12Nd7
_chemical_formula_sum 'Ac2 Pm24 Nd14'
_cell_length_a 11.6515
_cell_length_b 11.6515
_cell_length_c 11.6515
_cell_angle_alpha 90.00
_cell_angle_beta 90.00
_cell_angle_gamma 90.00
_space_group_name_H-M_alt 'I m -3 m'
_space_group_IT_number 229
_space_group_name_Hall '-I 4 2 3'
loop_
_atom_site_label
_atom_site_type_symbol
_atom_site_fract_x
_atom_site_fract_y
_atom_site_fract_z
Ac1 Ac 0.0000 0.0000 0.0000
Pm1 Pm 0.0000 0.2543 0.2543
Nd1 Nd 0.0000 0.0000 0.5000
Nd2 Nd 0.2500 0.2500 0.2500

(5)
# PBE AcPmNd4, relaxed
# Total magnetization: 0.0 μB per cell
# Raw total energy: -4.48 eV per atom
# E_form: 0.17 eV per atom
# Mass density: 7.07 g cm⁻³
data_AcPmNd4
_chemical_formula_sum 'Ac4 Pm4 Nd16'
_cell_length_a 7.2088
_cell_length_b 20.3474
_cell_length_c 6.0813
_cell_angle_alpha 90.00
_cell_angle_beta 90.72
_cell_angle_gamma 90.00
_space_group_name_H-M_alt 'C 1 2/c 1'
_space_group_IT_number 15
loop_
_space_group_symop_operation_xyz
'x,y,z'
'-x,-y,-z'
'-x,y,-z+1/2'
'x,-y,z+1/2'
'x+1/2,y+1/2,z'
'-x+1/2,-y+1/2,-z'
'-x+1/2,y+1/2,-z+1/2'
'x+1/2,-y+1/2,z+1/2'
loop_
_atom_site_label
_atom_site_type_symbol
_atom_site_fract_x
_atom_site_fract_y
_atom_site_fract_z
Ac1 Ac 0.0000 0.0530 0.2500
Pm1 Pm 0.0000 0.4509 0.7500
Nd1 Nd 0.2436 0.3842 0.2486
Nd2 Nd 0.2450 0.2905 0.7490

(6)
# PBE AcPmPrNd, relaxed
# Total magnetization: 0.0 μB per cell
# Raw total energy: -4.57 eV per atom
# E_form: 0.03 eV per atom
# Mass density: 7.24 g cm⁻³
data_AcPmPrNd
_chemical_formula_sum 'Ac2 Pm2 Pr2 Nd2'
_cell_length_a 5.3158
_cell_length_b 5.3272
_cell_length_c 10.6474
_cell_angle_alpha 90.00
_cell_angle_beta 90.00
_cell_angle_gamma 90.00
_space_group_name_H-M_alt 'I m m 2'
_space_group_IT_number 44
loop_
_space_group_symop_operation_xyz
'x,y,z'
'-x,-y,z'
'-x,y,z'
'x,-y,z'
'x+1/2,y+1/2,z+1/2'
'-x+1/2,-y+1/2,z+1/2'
'-x+1/2,y+1/2,z+1/2'
'x+1/2,-y+1/2,z+1/2'
loop_
_atom_site_label
_atom_site_type_symbol
_atom_site_fract_x
_atom_site_fract_y
_atom_site_fract_z
Ac1 Ac 0.0000 0.0000 0.0000
Pm1 Pm 0.0000 0.0000 0.5000
Pr1 Pr 0.0000 0.5000 0.7502
Nd1 Nd 0.0000 0.5000 0.2497

(7)
# PBE Ac2PmPr2Nd4, relaxed
# Total magnetization: 0.0 μB per cell
# Raw total energy: -4.60 eV per atom
# E_form: 0.03 eV per atom
# Mass density: 7.15 g cm⁻³
data_Ac2PmPr2Nd4
_chemical_formula_sum 'Ac4 Pm2 Pr4 Nd8'
_cell_length_a 19.5990
_cell_length_b 3.7978
_cell_length_c 10.1000
_cell_angle_alpha 90.00
_cell_angle_beta 115.74
_cell_angle_gamma 90.00
_space_group_name_H-M_alt 'C 1 2/m 1'
_space_group_IT_number 12
loop_
_space_group_symop_operation_xyz
'x,y,z'
'-x,-y,-z'
'-x,y,-z'
'x,-y,z'
'x+1/2,y+1/2,z'
'-x+1/2,-y+1/2,-z'
'-x+1/2,y+1/2,-z'
'x+1/2,-y+1/2,z'
loop_
_atom_site_label
_atom_site_type_symbol
_atom_site_fract_x
_atom_site_fract_y
_atom_site_fract_z
Ac1 Ac 0.1462 0.0000 0.1650
Pm1 Pm 0.0000 0.0000 0.5000
Pr1 Pr 0.1652 0.5000 0.5041
Nd1 Nd 0.0181 0.5000 0.8218
Nd2 Nd 0.1837 0.0000 0.8311

(8)
# PBE AcPmPr2Nd6, relaxed
# Total magnetization: 0.0 μB per cell
# Raw total energy: -4.59 eV per atom
# E_form: 0.11 eV per atom
# Mass density: 6.87 g cm⁻³
data_AcPmPr2Nd6
_chemical_formula_sum 'Ac4 Pm4 Pr8 Nd24'
_cell_length_a 9.3972
_cell_length_b 15.7797
_cell_length_c 9.9680
_cell_angle_alpha 90.00
_cell_angle_beta 96.50
_cell_angle_gamma 90.00
_space_group_name_H-M_alt 'C 1 2/c 1'
_space_group_IT_number 15
loop_
_space_group_symop_operation_xyz
'x,y,z'
'-x,-y,-z'
'-x,y,-z+1/2'
'x,-y,z+1/2'
'x+1/2,y+1/2,z'
'-x+1/2,-y+1/2,-z'
'-x+1/2,y+1/2,-z+1/2'
'x+1/2,-y+1/2,z+1/2'
loop_
_atom_site_label
_atom_site_type_symbol
_atom_site_fract_x
_atom_site_fract_y
_atom_site_fract_z
Ac1 Ac 0.0000 0.0229 0.2500
Pm1 Pm 0.0000 0.4084 0.7500
Pr1 Pr 0.2492 0.4423 0.4558
Nd1 Nd 0.0648 0.1904 0.9452
Nd2 Nd 0.1033 0.3961 0.1175
Nd3 Nd 0.2078 0.2284 0.3138

(9)
# PBE AcPm2Pr2Nd, relaxed
# Total magnetization: 0.0 μB per cell
# Raw total energy: -4.61 eV per atom
# E_form: 0.05 eV per atom
# Mass density: 7.13 g cm⁻³
data_AcPm2Pr2Nd
_chemical_formula_sum 'Ac2 Pm4 Pr4 Nd2'
_cell_length_a 7.3356
_cell_length_b 5.8921
_cell_length_c 10.1567
_cell_angle_alpha 90.00
_cell_angle_beta 90.00
_cell_angle_gamma 90.00
_space_group_name_H-M_alt 'P m m a'
_space_group_IT_number 51
loop_
_space_group_symop_operation_xyz
'x,y,z'
'-x,-y,-z'
'-x+1/2,-y,z'
'x+1/2,y,-z'
'x+1/2,-y,-z'
'-x+1/2,y,z'
'-x,y,-z'
'x,-y,z'
loop_
_atom_site_label
_atom_site_type_symbol
_atom_site_fract_x
_atom_site_fract_y
_atom_site_fract_z
Ac1 Ac 0.0000 0.0000 0.0000
Pm1 Pm 0.2500 0.0000 0.3355
Pm2 Pm 0.2500 0.5000 0.8303
Pr1 Pr 0.0000 0.5000 0.5000
Pr2 Pr 0.2500 0.0000 0.6646
Nd1 Nd 0.2500 0.5000 0.1693

(10)
# PBE AcPm2Pr4Nd, relaxed
# Total magnetization: 0.0 μB per cell
# Raw total energy: -4.33 eV per atom
# E_form: 0.36 eV per atom
# Mass density: 6.85 g cm⁻³
data_AcPm2Pr4Nd
_chemical_formula_sum 'Ac4 Pm8 Pr16 Nd4'
_cell_length_a 14.1206
_cell_length_b 13.6360
_cell_length_c 7.1435
_cell_angle_alpha 90.00
_cell_angle_beta 120.23
_cell_angle_gamma 90.00
_space_group_name_H-M_alt 'C 1 2/c 1'
_space_group_IT_number 15
loop_
_space_group_symop_operation_xyz
'x,y,z'
'-x,-y,-z'
'-x,y,-z+1/2'
'x,-y,z+1/2'
'x+1/2,y+1/2,z'
'-x+1/2,-y+1/2,-z'
'-x+1/2,y+1/2,-z+1/2'
'x+1/2,-y+1/2,z+1/2'
loop_
_atom_site_label
_atom_site_type_symbol
_atom_site_fract_x
_atom_site_fract_y
_atom_site_fract_z
Ac1 Ac 0.2500 0.2500 0.0000
Pm1 Pm 0.0000 0.0000 0.0000
Pm2 Pm 0.2500 0.2500 0.5000
Pr1 Pr 0.9997 0.2491 0.0147
Pr2 Pr 0.2489 0.0081 0.4330
Nd1 Nd 0.0000 0.5000 0.0000